Here is a relaxed structure of Sm5Dy2Ho3 from Alexandria via LeMat-Bulk. Energies are from PBE.

Cell: 10.902 9.900 9.900 Å, 56.51 56.59 56.59°
Positions (direct):
Sm: 0.250 0.500 0.500
Sm: 0.750 0.500 0.500
Sm: 0.498 0.752 0.752
Sm: 0.002 0.248 0.248
Sm: 0.502 0.248 0.248
Sm: 0.998 0.752 0.752
Sm: 0.127 0.474 0.272
Sm: 0.873 0.526 0.728
Sm: 0.627 0.272 0.474
Sm: 0.373 0.728 0.526
Dy: 0.122 0.789 0.968
Dy: 0.878 0.211 0.032
Dy: 0.622 0.968 0.789
Dy: 0.378 0.032 0.211
Ho: 0.250 0.000 0.000
Ho: 0.750 0.000 0.000
Ho: 0.376 0.375 0.873
Ho: 0.624 0.625 0.127
Ho: 0.876 0.873 0.375
Ho: 0.124 0.127 0.625

- calculated formation energy (eV per atom) = 0.389
- relative energy among the computed polymorphs (eV/atom) = 0.1938
- energy (Ry per atom) = -0.3135


Here is a relaxed structure of La2PdRu from Alexandria via LeMat-Bulk. Energies are from PBE.

Cell: 7.698 7.698 6.362 Å, 52.78 52.78 90.00°
Positions (direct):
Ru: 0.500 0.500 0.000
Ru: 0.250 0.750 0.500
Pd: 0.000 0.000 0.000
Pd: 0.750 0.250 0.500
La: 0.602 0.125 0.250
La: 0.148 0.625 0.250
La: 0.375 0.398 0.750
La: 0.875 0.852 0.750

- calculated formation energy (eV per atom) = -0.276
- energy (Ry per atom) = -0.4672


Here is a relaxed structure of MnNiHRu2 from Alexandria via LeMat-Bulk. Energies are from PBE.

Cell: 3.812 3.812 3.726 Å, 90.00 90.00 90.00°
Site moments in Bohr magnetons follow the coordinates.
Positions (direct):
Ru: 0.000 0.500 0.000  -0.24
Ru: 0.500 0.000 0.000  -0.24
Mn: 0.000 0.000 0.500  2.83
H: 0.000 0.000 0.000  -0.01
Ni: 0.500 0.500 0.500  0.05

- relative energy among the computed polymorphs (eV/atom) = 0.0281
- energy (Ry per atom) = -0.5358


Here is a relaxed structure of La4Ge2P from Alexandria via LeMat-Bulk. Energies are from PBE.

Cell: 4.506 6.345 7.909 Å, 76.68 73.45 69.20°
Site moments in Bohr magnetons follow the coordinates.
Positions (direct):
La: 0.086 0.199 0.628  0.12
La: 0.914 0.801 0.372  0.12
La: 0.318 0.282 0.082  0.04
La: 0.682 0.718 0.918  0.04
Ge: 0.376 0.597 0.650  -0.01
Ge: 0.624 0.403 0.350  -0.01
P: 0.000 0.000 0.000  -0.01

- calculated formation energy (eV per atom) = -0.940
- relative energy among the computed polymorphs (eV/atom) = 0.0000
- energy (Ry per atom) = -0.4298


Here is a relaxed structure of SrReIO2 from Alexandria via LeMat-Bulk. Energies are from PBE.

Cell: 4.532 4.532 6.620 Å, 90.00 90.00 90.00°
Site moments in Bohr magnetons follow the coordinates.
Positions (direct):
I: 0.000 0.000 0.500  0.06
Re: 0.500 0.500 0.500  3.98
O: 0.000 0.500 0.000  0.72
O: 0.500 0.000 0.000  0.72
Sr: 0.000 0.000 0.000  0.04

- formation energy from raw total energies (eV/atom) = 0.571
- relative energy among the computed polymorphs (eV/atom) = 1.3420
- energy (Ry per atom) = -0.3343


Here is a relaxed structure of CrNiRh from Alexandria via LeMat-Bulk. Energies are from PBE.

Cell: 3.936 3.936 3.936 Å, 60.00 60.00 60.00°
Site moments in Bohr magnetons follow the coordinates.
Positions (direct):
Cr: 0.750 0.750 0.750  1.32
Ni: 0.000 0.000 0.000  0.24
Rh: 0.500 0.500 0.500  -0.14

- calculated formation energy (eV per atom) = 0.360
- relative energy among the computed polymorphs (eV/atom) = 0.4110
- energy (Ry per atom) = -0.5311


The calculation returns the following D(E_F) values, one per record and in order: 1.509; 0.186; 0.986; 0.811; 0.558; 1.442 states/eV per atom.
The calculation returns the following mass density values, one per record and in order: 7.5; 8.3; 9.7; 6.1; 5.3; 8.2 g/cm3.